18
Lattice="3.734 -10.191 0.000 3.734 10.191 0.000 0.000 0.000 8.804" Properties=species:S:1:pos:R:3 comment="Ac3La2Tl4, optimized geometry, DFT PBE" final_energy_ev_per_atom=-3.711 relative_energy_kj_per_mol_fu=91 formation_energy_ev_per_atom=-0.20 m_tot_mub_per_cell=0.0 pbc="T T T"
Ac 0.000 0.000 0.000
Ac 1.867 4.721 2.201
Ac 1.867 -4.721 6.603
Ac 3.734 0.000 4.402
Ac 5.602 4.721 2.201
Ac 5.602 -4.721 6.603
La 3.734 8.331 3.684
La 3.734 1.860 8.086
La 3.734 -1.860 0.719
La 3.734 -8.331 5.121
Tl 3.734 6.915 0.494
Tl 1.867 1.387 2.201
Tl 1.867 -1.387 6.603
Tl 3.734 3.276 4.896
Tl 3.734 -3.276 3.908
Tl 5.602 1.387 2.201
Tl 5.602 -1.387 6.603
Tl 3.734 -6.915 8.310